[1]
DFT (PBE-GGA) results for an optimized crystal structure of GdYAg2As4.

a b c (Å): 4.0047 4.0047 10.3442
angles (deg): 90.00 90.00 90.00
Closest atoms and distances in Å follow each position.
Fractional coordinates of all 8 atoms:
Y 0.5000 0.5000 0.7260  8 As 2.97-3.07
As 0.0000 0.5000 0.5010  4 As 2.83, 2 Y 3.07, 2 Gd 3.08
As 0.0000 0.0000 0.8118  4 Ag 2.79, 4 Y 2.97
As 0.5000 0.0000 0.5010  4 As 2.83, 2 Y 3.07, 2 Gd 3.08
As 0.5000 0.5000 0.1870  4 Ag 2.79, 4 Gd 2.97
Gd 0.0000 0.0000 0.2742  8 As 2.97-3.08
Ag 0.0000 0.5000 0.9995  4 As 2.79, 4 Ag 2.83
Ag 0.5000 0.0000 0.9995  4 As 2.79, 4 Ag 2.83

Values from the calculation:
**VASP energy**: -41.47 eV/f.u.
**Theoretical density**: 7.62 g/cm3

[2]
DFT (PBE-GGA) results for an optimized crystal structure of AgGe2As.

a b c (Å): 4.7604 4.7604 4.7604
angles (deg): 60.00 60.00 60.00
Closest atoms and distances in Å follow each position.
Fractional coordinates of all 4 atoms:
As 0.7500 0.7500 0.7500  4 Ag 2.92, 4 Ge 2.92
Ag 0.5000 0.5000 0.5000  4 As 2.92, 4 Ge 2.92
Ge 0.0000 0.0000 0.0000  4 As 2.92, 4 Ge 2.92
Ge 0.2500 0.2500 0.2500  4 Ge 2.92, 4 Ag 2.92

Values from the calculation:
**VASP energy**: -15.34 eV/f.u.
**Theoretical density**: 7.14 g/cm3

[3]
DFT (PBE-GGA) results for an optimized crystal structure of K3Ag2As4HO14.

a b c (Å): 5.6008 5.7545 12.9502
angles (deg): 89.83 101.36 118.07
Closest atoms and distances in Å follow each position.
Fractional coordinates of all 24 atoms:
O 0.2677 0.8812 0.6603  1 As 1.69
O 0.2201 0.0868 0.3223  1 As 1.70
O 0.2836 0.1628 0.8934  1 As 1.67
O 0.6632 0.4230 0.4918  1 H 1.21
O 0.7259 0.3490 0.1147  1 As 1.71
O 0.6690 0.5778 0.2927  2 As 1.80-1.81
O 0.2315 0.3633 0.1115  1 As 1.71
O 0.7799 0.9132 0.6777  1 As 1.70
O 0.3310 0.4222 0.7073  2 As 1.80-1.81
O 0.3368 0.5770 0.5082  1 H 1.21
O 0.7164 0.8372 0.1066  1 As 1.67
O 0.7685 0.6367 0.8885  1 As 1.71
O 0.7323 0.1188 0.3397  1 As 1.69
O 0.2741 0.6510 0.8853  1 As 1.71
Ag 0.9873 0.2482 0.2282  4 O 2.12-2.14
Ag 0.0127 0.7518 0.7718  4 O 2.12-2.14
As 0.5861 0.5370 0.1493  4 O 1.67-1.81
As 0.4321 0.7114 0.6369  4 O 1.69-1.80
As 0.4139 0.4630 0.8507  4 O 1.67-1.81
As 0.5679 0.2886 0.3631  4 O 1.69-1.80
H 0.5000 0.5000 0.5000  2 O 1.21
K 0.7938 0.1439 0.9351  9 O 2.78-3.07
K 0.0000 0.0000 0.5000  4 O 2.60-2.76
K 0.2062 0.8561 0.0649  9 O 2.78-3.07

Values from the calculation:
**VASP energy**: -128.55 eV/f.u.
**Theoretical density**: 3.97 g/cm3